#1
Compound: PmBeN
Source: Alexandria
Functional: PBE-GGA
Structure: optimized geometry

Values from the calculation:
magnetization	0.00	μB/f.u.
N(E_F)	0.98	states/eV/f.u.
density	6.2	Mg/m³
calculated volume	89.6	Å³ per cell

```
PmBeN
1.0
3.6108 0.0000 0.0000
0.0000 3.6953 0.0000
-1.8021 0.0000 6.7176
Pm Be N
2 2 2
Cartesian
-0.0002 0.9238 2.0904
1.8089 2.7714 4.6272
0.0045 0.9238 6.0693
1.8042 2.7714 0.6483
0.0039 0.9238 4.4915
1.8047 2.7714 2.2262
```

#2
Compound: PmBeN
Source: Alexandria
Functional: PBE-GGA
Structure: optimized geometry

Values from the calculation:
magnetization	0.00	μB/f.u.
N(E_F)	2.10	states/eV/f.u.
density	7.0	Mg/m³
calculated volume	39.6	Å³ per cell

```
PmBeN
1.0
-1.4636 1.4636 4.6241
1.4636 -1.4636 4.6241
1.4636 1.4636 -4.6241
Pm Be N
1 1 1
Cartesian
0.0000 0.0000 0.0000
0.0000 0.0000 6.6536
0.0000 0.0000 2.4347
```

#3
Compound: PmBeN
Source: Alexandria
Functional: PBE-GGA
Structure: optimized geometry

Values from the calculation:
magnetization	0.00	μB/f.u.
N(E_F)	1.00	states/eV/f.u.
density	6.1	Mg/m³
calculated volume	91.1	Å³ per cell

```
PmBeN
1.0
2.5937 -2.5490 0.0000
2.5937 2.5490 0.0000
-0.9001 0.0000 6.8927
Pm Be N
2 2 2
Cartesian
0.8178 0.0000 2.1885
3.4695 0.0000 4.7042
0.9165 0.0000 6.1801
3.3707 0.0000 0.7125
0.8451 0.0000 4.6030
3.4421 0.0000 2.2897
```

Result of the stability comparison: #2 is the least stable of them.

#1
Compound: BePt2N2
Source: Alexandria
Functional: PBE-GGA
Structure: optimized geometry

Values from the calculation:
magnetization	0.00	μB/f.u.
N(E_F)	2.73	states/eV/f.u.
density	12.2	Mg/m³
calculated volume	116.7	Å³ per cell

```
BePt2N2
1.0
5.4725 0.0000 0.0000
0.0000 5.4725 0.0000
0.0000 0.0000 3.8962
Be Pt N
2 4 4
Cartesian
0.0000 0.0000 0.0000
2.7362 2.7362 0.0000
1.3643 1.3720 1.9481
1.3720 4.1082 1.9481
4.1005 1.3643 1.9481
4.1082 4.1005 1.9481
1.3642 1.3721 0.0000
1.3721 4.1083 0.0000
4.1004 1.3642 0.0000
4.1083 4.1004 0.0000
```

#2
Compound: BePt2N2
Source: Alexandria
Functional: PBE-GGA
Structure: optimized geometry

Values from the calculation:
magnetization	0.00	μB/f.u.
N(E_F)	1.99	states/eV/f.u.
density	11.8	Mg/m³
calculated volume	60.1	Å³ per cell

```
BePt2N2
1.0
-2.0032 2.0032 3.7454
2.0032 -2.0032 3.7454
2.0032 2.0032 -3.7454
Be Pt N
1 2 2
Cartesian
0.0000 0.0000 0.0000
2.0032 0.0000 1.8727
0.0000 2.0032 1.8727
0.0000 0.0000 3.1459
0.0000 0.0000 4.3450
```

Result of the stability comparison: #2 is the least stable of them.

#1
Compound: BePt2N
Source: Alexandria
Functional: PBE-GGA
Structure: optimized geometry

Values from the calculation:
magnetization	0.00	μB/f.u.
N(E_F)	0.51	states/eV/f.u.
density	11.8	Mg/m³
calculated volume	116.1	Å³ per cell

```
BePt2N
1.0
-2.2775 2.2775 5.5938
2.2775 -2.2775 5.5938
2.2775 2.2775 -5.5938
Be Pt N
2 4 2
Cartesian
0.0000 0.0000 0.0000
0.0000 2.2775 2.7969
1.1388 -0.9217 4.1954
1.3558 1.1388 1.3985
1.1388 3.1993 -1.3985
0.9217 1.1388 6.9923
2.2775 0.0000 2.7969
0.0000 0.0000 5.5938
```

#2
Compound: BePt2N
Source: Alexandria
Functional: PBE-GGA
Structure: optimized geometry

Values from the calculation:
magnetization	0.91	μB/f.u.
N(E_F)	3.52	states/eV/f.u.
density	14.7	Mg/m³
calculated volume	46.7	Å³ per cell

```
BePt2N
1.0
0.0000 2.8586 2.8586
2.8586 0.0000 2.8586
2.8586 2.8586 0.0000
Be Pt N
1 2 1
Cartesian
0.0000 0.0000 0.0000
1.4293 1.4293 1.4293
4.2878 4.2878 4.2878
2.8586 2.8586 2.8586
```

Result of the stability comparison: #2 is the least stable of them.

#1
Compound: BePtSeN2
Source: Alexandria
Functional: PBE-GGA
Structure: optimized geometry

Values from the calculation:
magnetization	0.00	μB/f.u.
N(E_F)	1.82	states/eV/f.u.
density	4.3	Mg/m³
calculated volume	119.3	Å³ per cell

```
BePtSeN2
1.0
3.6671 0.0000 0.0000
0.0000 3.6671 0.0000
0.0000 0.0000 8.8748
Be Pt Se N
1 1 1 2
Cartesian
0.0000 0.0000 0.0000
1.8335 1.8335 4.4374
1.8335 1.8335 0.0000
0.0000 1.8335 4.4374
1.8335 0.0000 4.4374
```

#2
Compound: BePtSeN2
Source: Alexandria
Functional: PBE-GGA
Structure: optimized geometry

Values from the calculation:
magnetization	1.89	μB/f.u.
N(E_F)	3.03	states/eV/f.u.
density	6.1	Mg/m³
calculated volume	85.3	Å³ per cell

```
BePtSeN2
1.0
3.4368 0.0000 0.0000
0.0000 3.4368 0.0000
0.0000 0.0000 7.2176
Be Pt Se N
1 1 1 2
Cartesian
0.0000 0.0000 0.0000
1.7184 1.7184 3.6088
0.0000 0.0000 3.6088
0.0000 1.7184 0.0000
1.7184 0.0000 0.0000
```

Result of the stability comparison: #2 is the least stable of them.

#1
Compound: BePtSe2N
Source: Alexandria
Functional: PBE-GGA
Structure: optimized geometry

Values from the calculation:
magnetization	0.01	μB/f.u.
N(E_F)	4.05	states/eV/f.u.
density	8.5	Mg/m³
calculated volume	73.8	Å³ per cell

```
BePtSe2N
1.0
4.9468 0.0000 0.0000
0.0000 4.9468 0.0000
0.0000 0.0000 3.0152
Be Pt Se N
1 1 2 1
Cartesian
0.0000 0.0000 0.0000
2.4734 2.4734 1.5076
0.0000 2.4734 0.0000
2.4734 0.0000 0.0000
0.0000 0.0000 1.5076
```

#2
Compound: BePtSe2N
Source: Alexandria
Functional: PBE-GGA
Structure: optimized geometry

Values from the calculation:
magnetization	0.00	μB/f.u.
N(E_F)	2.85	states/eV/f.u.
density	6.3	Mg/m³
calculated volume	98.4	Å³ per cell

```
BePtSe2N
1.0
5.1939 0.0000 0.0000
0.0000 5.1939 0.0000
0.0000 0.0000 3.6462
Be Pt Se N
1 1 2 1
Cartesian
0.0000 0.0000 0.0000
2.5970 2.5970 1.8231
0.0000 2.5970 1.8231
2.5970 0.0000 1.8231
2.5970 2.5970 0.0000
```

Result of the stability comparison: #2 is the least stable of them.

#1
Compound: Rb2BeN
Source: Alexandria
Functional: PBE-GGA
Structure: optimized geometry

Values from the calculation:
magnetization	1.00	μB/f.u.
N(E_F)	2.48	states/eV/f.u.
density	2.8	Mg/m³
calculated volume	114.8	Å³ per cell

```
Rb2BeN
1.0
0.0000 3.8578 3.8578
3.8578 0.0000 3.8578
3.8578 3.8578 0.0000
Rb Be N
2 1 1
Cartesian
1.9289 1.9289 1.9289
5.7867 5.7867 5.7867
0.0000 0.0000 0.0000
3.8578 3.8578 3.8578
```

#2
Compound: Rb2BeN
Source: Alexandria
Functional: PBE-GGA
Structure: optimized geometry

Values from the calculation:
magnetization	0.00	μB/f.u.
N(E_F)	1.94	states/eV/f.u.
density	2.6	Mg/m³
calculated volume	245.0	Å³ per cell

```
Rb2BeN
1.0
-6.2206 6.2206 1.5827
6.2206 -6.2206 1.5827
6.2206 6.2206 -1.5827
Rb Be N
4 2 2
Cartesian
0.4795 3.1103 0.3957
-3.1103 5.7411 1.1870
-0.4795 9.3310 0.3957
3.1103 6.7001 1.1870
6.2206 0.0000 0.7914
0.0000 0.0000 1.5827
0.0000 0.0000 0.0000
0.0000 6.2206 0.7914
```

Result of the stability comparison: #1 is the least stable of them.

#1
Compound: RbBe3N
Source: Alexandria
Functional: PBE-GGA
Structure: optimized geometry

Values from the calculation:
magnetization	0.00	μB/f.u.
N(E_F)	2.18	states/eV/f.u.
density	2.9	Mg/m³
calculated volume	72.0	Å³ per cell

```
RbBe3N
1.0
4.1593 0.0000 0.0000
0.0000 4.1593 0.0000
0.0000 0.0000 4.1593
Rb Be N
1 3 1
Cartesian
0.0000 0.0000 0.0000
0.0000 2.0797 2.0797
2.0797 0.0000 2.0797
2.0797 2.0797 0.0000
2.0797 2.0797 2.0797
```

#2
Compound: RbBe3N
Source: Alexandria
Functional: PBE-GGA
Structure: optimized geometry

Values from the calculation:
magnetization	2.52	μB/f.u.
N(E_F)	8.50	states/eV/f.u.
density	0.6	Mg/m³
calculated volume	342.7	Å³ per cell

```
RbBe3N
1.0
6.9980 0.0000 0.0000
0.0000 6.9980 0.0000
0.0000 0.0000 6.9980
Rb Be N
1 3 1
Cartesian
0.0000 0.0000 0.0000
0.0000 0.0000 3.4990
0.0000 3.4990 0.0000
3.4990 0.0000 0.0000
3.4990 3.4990 3.4990
```

Result of the stability comparison: #2 is the least stable of them.

#1
Compound: RbBeSN2
Source: Alexandria
Functional: PBE-GGA
Structure: optimized geometry

Values from the calculation:
magnetization	4.61	μB/f.u.
N(E_F)	3.59	states/eV/f.u.
density	3.1	Mg/m³
calculated volume	81.9	Å³ per cell

```
RbBeSN2
1.0
4.3128 0.0000 0.0000
0.0000 4.3128 0.0000
0.0000 0.0000 4.4027
Rb Be S N
1 1 1 2
Cartesian
0.0000 0.0000 0.0000
2.1564 2.1564 2.2013
2.1564 2.1564 0.0000
0.0000 2.1564 2.2013
2.1564 0.0000 2.2013
```

#2
Compound: RbBeSN2
Source: Alexandria
Functional: PBE-GGA
Structure: optimized geometry

Values from the calculation:
magnetization	3.52	μB/f.u.
N(E_F)	2.18	states/eV/f.u.
density	2.0	Mg/m³
calculated volume	126.8	Å³ per cell

```
RbBeSN2
1.0
4.4305 0.0000 0.0000
0.0000 4.4305 0.0000
0.0000 0.0000 6.4618
Rb Be S N
1 1 1 2
Cartesian
0.0000 0.0000 0.0000
2.2152 2.2152 3.2309
0.0000 0.0000 3.2309
0.0000 2.2152 0.0000
2.2152 0.0000 0.0000
```

Result of the stability comparison: #2 is the least stable of them.

#1
Compound: RbBeSeN2
Source: Alexandria
Functional: PBE-GGA
Structure: optimized geometry

Values from the calculation:
magnetization	3.48	μB/f.u.
N(E_F)	2.21	states/eV/f.u.
density	2.5	Mg/m³
calculated volume	133.6	Å³ per cell

```
RbBeSeN2
1.0
4.4281 0.0000 0.0000
0.0000 4.4281 0.0000
0.0000 0.0000 6.8135
Rb Be Se N
1 1 1 2
Cartesian
0.0000 0.0000 0.0000
2.2141 2.2141 3.4067
0.0000 0.0000 3.4067
0.0000 2.2141 0.0000
2.2141 0.0000 0.0000
```

#2
Compound: RbBeSeN2
Source: Alexandria
Functional: PBE-GGA
Structure: optimized geometry

Values from the calculation:
magnetization	4.45	μB/f.u.
N(E_F)	3.78	states/eV/f.u.
density	3.8	Mg/m³
calculated volume	88.2	Å³ per cell

```
RbBeSeN2
1.0
4.3627 0.0000 0.0000
0.0000 4.3627 0.0000
0.0000 0.0000 4.6363
Rb Be Se N
1 1 1 2
Cartesian
0.0000 0.0000 0.0000
2.1814 2.1814 2.3181
2.1814 2.1814 0.0000
0.0000 2.1814 2.3181
2.1814 0.0000 2.3181
```

Result of the stability comparison: #1 is the least stable of them.

#1
Compound: RbBeTeN2
Source: Alexandria
Functional: PBE-GGA
Structure: optimized geometry

Values from the calculation:
magnetization	4.42	μB/f.u.
N(E_F)	3.98	states/eV/f.u.
density	4.1	Mg/m³
calculated volume	101.8	Å³ per cell

```
RbBeTeN2
1.0
4.5376 0.0000 0.0000
0.0000 4.5376 0.0000
0.0000 0.0000 4.9446
Rb Be Te N
1 1 1 2
Cartesian
0.0000 0.0000 0.0000
2.2688 2.2688 2.4723
2.2688 2.2688 0.0000
0.0000 2.2688 2.4723
2.2688 0.0000 2.4723
```

#2
Compound: RbBeTeN2
Source: Alexandria
Functional: PBE-GGA
Structure: optimized geometry

Values from the calculation:
magnetization	5.40	μB/f.u.
N(E_F)	4.51	states/eV/f.u.
density	2.2	Mg/m³
calculated volume	187.8	Å³ per cell

```
RbBeTeN2
1.0
5.0201 0.0000 0.0000
0.0000 5.0201 0.0000
0.0000 0.0000 7.4531
Rb Be Te N
1 1 1 2
Cartesian
0.0000 0.0000 0.0000
2.5100 2.5100 3.7265
0.0000 0.0000 3.7265
0.0000 2.5100 0.0000
2.5100 0.0000 0.0000
```

Result of the stability comparison: #2 is the least stable of them.

#1
Compound: BeRe2N
Source: Alexandria
Functional: PBE-GGA
Structure: optimized geometry

Values from the calculation:
magnetization	0.00	μB/f.u.
N(E_F)	5.99	states/eV/f.u.
density	12.0	Mg/m³
calculated volume	109.0	Å³ per cell

```
BeRe2N
1.0
-2.2394 2.2394 5.4349
2.2394 -2.2394 5.4349
2.2394 2.2394 -5.4349
Be Re N
2 4 2
Cartesian
0.0000 0.0000 0.0000
0.0000 2.2394 2.7175
1.1197 -0.8728 4.0762
1.3666 1.1197 1.3587
1.1197 3.1123 -1.3587
0.8728 1.1197 6.7937
2.2394 0.0000 2.7175
0.0000 0.0000 5.4349
```

#2
Compound: BeRe2N
Source: Alexandria
Functional: PBE-GGA
Structure: optimized geometry

Values from the calculation:
magnetization	0.00	μB/f.u.
N(E_F)	4.35	states/eV/f.u.
density	15.2	Mg/m³
calculated volume	43.1	Å³ per cell

```
BeRe2N
1.0
0.0000 2.7831 2.7831
2.7831 0.0000 2.7831
2.7831 2.7831 0.0000
Be Re N
1 2 1
Cartesian
0.0000 0.0000 0.0000
1.3916 1.3916 1.3916
4.1747 4.1747 4.1747
2.7831 2.7831 2.7831
```

Result of the stability comparison: #1 is the least stable of them.

#1
Compound: Be3ReN
Source: Alexandria
Functional: PBE-GGA
Structure: optimized geometry

Values from the calculation:
magnetization	1.95	μB/f.u.
N(E_F)	2.31	states/eV/f.u.
density	4.9	Mg/m³
calculated volume	77.3	Å³ per cell

```
Be3ReN
1.0
4.2598 0.0000 0.0000
0.0000 4.2598 0.0000
0.0000 0.0000 4.2598
Be Re N
3 1 1
Cartesian
0.0000 0.0000 2.1299
0.0000 2.1299 0.0000
2.1299 0.0000 0.0000
0.0000 0.0000 0.0000
2.1299 2.1299 2.1299
```

#2
Compound: Be3ReN
Source: Alexandria
Functional: PBE-GGA
Structure: optimized geometry

Values from the calculation:
magnetization	0.59	μB/f.u.
N(E_F)	3.62	states/eV/f.u.
density	8.3	Mg/m³
calculated volume	45.4	Å³ per cell

```
Be3ReN
1.0
3.5681 0.0000 0.0000
0.0000 3.5681 0.0000
0.0000 0.0000 3.5681
Be Re N
3 1 1
Cartesian
0.0000 0.0000 1.7840
0.0000 1.7840 0.0000
1.7840 0.0000 0.0000
1.7840 1.7840 1.7840
0.0000 0.0000 0.0000
```

Result of the stability comparison: #1 is the least stable of them.

#1
Compound: BeReSN2
Source: Alexandria
Functional: PBE-GGA
Structure: optimized geometry

Values from the calculation:
magnetization	0.00	μB/f.u.
N(E_F)	3.54	states/eV/f.u.
density	5.7	Mg/m³
calculated volume	74.6	Å³ per cell

```
BeReSN2
1.0
3.7633 0.0000 0.0000
0.0000 3.7633 0.0000
0.0000 0.0000 5.2641
Be Re S N
1 1 1 2
Cartesian
0.0000 0.0000 0.0000
1.8817 1.8817 2.6320
1.8817 1.8817 0.0000
0.0000 1.8817 2.6320
1.8817 0.0000 2.6320
```

#2
Compound: BeReSN2
Source: Alexandria
Functional: PBE-GGA
Structure: optimized geometry

Values from the calculation:
magnetization	0.84	μB/f.u.
N(E_F)	2.32	states/eV/f.u.
density	8.0	Mg/m³
calculated volume	52.7	Å³ per cell

```
BeReSN2
1.0
3.4699 0.0000 0.0000
0.0000 3.4699 0.0000
0.0000 0.0000 4.3782
Be Re S N
1 1 1 2
Cartesian
0.0000 0.0000 0.0000
1.7349 1.7349 2.1891
0.0000 0.0000 2.1891
0.0000 1.7349 0.0000
1.7349 0.0000 0.0000
```

Result of the stability comparison: #2 is the least stable of them.